# 1
VASP calculation (GGA-PBE) on an optimized crystal structure of PrPRu.

Unit cell a=4.329 b=4.056 c=4.056 alpha=120.00 beta=90.00 gamma=90.00
Positions (direct):
Pr  0.665  0.667  0.333
Ru  0.170  0.333  0.667
P  0.165  0.000  0.000

Calculated values
Spin magnetization   0.0 Bohr magnetons per cell
Energy relative to the elements   -840 meV/atom
E_tot   -7.329 eV/atom


# 2
VASP calculation (GGA-PBE) on an optimized crystal structure of PrPRu.

Unit cell a=3.806 b=3.806 c=5.501 alpha=69.76 beta=69.76 gamma=60.00
Positions (direct):
P  0.386  0.386  0.843
Pr  0.590  0.590  0.230
Ru  0.098  0.098  0.706

Calculated values
Spin magnetization   0.0 Bohr magnetons per cell
Energy relative to the elements   -801 meV/atom
E_tot   -7.289 eV/atom


# 3
VASP calculation (GGA-PBE) on an optimized crystal structure of PrTaP2Ru.

Unit cell a=3.942 b=3.942 c=6.645 alpha=107.25 beta=107.25 gamma=90.00
Positions (direct):
P  0.374  0.374  0.749
P  0.626  0.626  0.251
Ta  0.750  0.250  0.500
Ru  0.250  0.750  0.500
Pr  0.000  0.000  0.000

Calculated values
Spin magnetization   0.0 Bohr magnetons per cell
Energy relative to the elements   -810 meV/atom
E_tot   -8.156 eV/atom


# 4
VASP calculation (GGA-PBE) on an optimized crystal structure of PrTcP2Ru.

Unit cell a=4.144 b=4.144 c=5.806 alpha=110.91 beta=110.91 gamma=90.00
Positions (direct):
P  0.362  0.362  0.724
P  0.638  0.638  0.276
Tc  0.750  0.250  0.500
Ru  0.250  0.750  0.500
Pr  0.000  0.000  0.000

Calculated values
Spin magnetization   0.0 Bohr magnetons per cell
Energy relative to the elements   -965 meV/atom
E_tot   -8.013 eV/atom


# 5
VASP calculation (GGA-PBE) on an optimized crystal structure of PrTiP2Ru.

Unit cell a=3.920 b=3.920 c=6.509 alpha=107.53 beta=107.53 gamma=90.00
Positions (direct):
P  0.373  0.373  0.745
P  0.627  0.627  0.255
Pr  0.000  0.000  0.000
Ti  0.250  0.750  0.500
Ru  0.750  0.250  0.500

Calculated values
Spin magnetization   0.0 Bohr magnetons per cell
Energy relative to the elements   -1044 meV/atom
E_tot   -7.598 eV/atom


# 6
VASP calculation (GGA-PBE) on an optimized crystal structure of PrVP2Ru.

Unit cell a=4.089 b=4.089 c=5.877 alpha=110.36 beta=110.36 gamma=90.00
Each line ends with the local moment (μB).
Positions (direct):
Pr  0.000  0.000  0.000  0.06
V  0.750  0.250  0.500  1.56
Ru  0.250  0.750  0.500  0.18
P  0.632  0.632  0.263  -0.03
P  0.368  0.368  0.737  -0.03

Calculated values
Spin magnetization   2.1 Bohr magnetons per cell
Energy relative to the elements   -929 meV/atom
E_tot   -7.727 eV/atom


# 7
VASP calculation (GGA-PBE) on an optimized crystal structure of Pr7P4S4.

Unit cell a=7.467 b=10.949 c=10.949 alpha=83.32 beta=70.06 gamma=70.06
Each line ends with the local moment (μB).
Positions (direct):
Pr  0.755  0.000  0.000  0.02
Pr  0.702  0.596  0.000  0.01
Pr  0.000  0.270  0.730  0.02
Pr  0.500  0.359  0.641  0.06
Pr  0.000  0.730  0.270  0.02
Pr  0.702  0.000  0.596  0.01
Pr  0.245  0.000  0.000  0.02
Pr  0.500  0.641  0.359  0.06
Pr  0.298  0.404  0.000  0.01
Pr  0.270  0.730  0.730  0.02
Pr  0.859  0.641  0.641  0.06
Pr  0.298  0.000  0.404  0.01
Pr  0.730  0.270  0.270  0.02
Pr  0.141  0.359  0.359  0.06
P  0.101  0.798  0.500  0.00
P  0.399  0.202  0.500  0.00
P  0.899  0.202  0.500  0.00
P  0.899  0.500  0.202  0.00
P  0.601  0.798  0.500  0.00
P  0.601  0.500  0.798  0.00
P  0.399  0.500  0.202  0.00
P  0.101  0.500  0.798  0.00
S  0.884  0.000  0.232  0.00
S  0.500  0.166  0.834  0.00
S  0.116  0.000  0.768  0.00
S  0.500  0.834  0.166  0.00
S  0.334  0.166  0.166  0.00
S  0.116  0.768  0.000  0.00
S  0.884  0.232  0.000  0.00
S  0.666  0.834  0.834  0.00

Calculated values
Formation energy without anion corrections   -1571.5 meV per atom
Spin magnetization   1.1 Bohr magnetons per cell
E_tot   -6.345 eV/atom


# 8
VASP calculation (GGA-PBE) on an optimized crystal structure of Pr2PS5.

Unit cell a=6.707 b=6.707 c=6.070 alpha=122.21 beta=122.21 gamma=90.13
Positions (direct):
Pr  0.295  0.762  0.528
Pr  0.762  0.295  0.528
S  0.814  0.814  0.100
S  0.684  0.684  0.446
S  0.225  0.225  0.979
S  0.774  0.248  0.009
S  0.248  0.773  0.009
P  0.975  0.975  0.953

Calculated values
Formation energy without anion corrections   -1122.1 meV per atom
Spin magnetization   0.0 Bohr magnetons per cell
E_tot   -5.573 eV/atom


# 9
VASP calculation (GGA-PBE) on an optimized crystal structure of PrPS4.

Unit cell a=5.879 b=7.458 c=9.003 alpha=90.00 beta=90.00 gamma=130.34
Positions (direct):
Pr  0.041  0.361  0.250
Pr  0.959  0.639  0.750
S  0.411  0.226  0.250
S  0.318  0.157  0.750
S  0.928  0.295  0.925
S  0.589  0.774  0.750
S  0.928  0.295  0.575
S  0.072  0.705  0.075
S  0.682  0.843  0.250
S  0.072  0.705  0.425
P  0.948  0.126  0.750
P  0.052  0.874  0.250

Calculated values
Formation energy without anion corrections   -999.1 meV per atom
Spin magnetization   0.0 Bohr magnetons per cell
E_tot   -5.449 eV/atom


# 10
VASP calculation (GGA-PBE) on an optimized crystal structure of PrPS4.

Unit cell a=11.101 b=12.516 c=11.101 alpha=116.33 beta=90.00 gamma=116.33
Positions (direct):
S  0.738  0.747  0.967
S  0.722  0.576  0.536
S  0.717  0.247  0.988
S  0.853  0.576  0.039
S  0.509  0.747  0.467
S  0.009  0.747  0.780
S  0.222  0.576  0.539
S  0.961  0.424  0.278
S  0.033  0.253  0.991
S  0.461  0.424  0.647
S  0.220  0.253  0.262
S  0.030  0.247  0.488
S  0.741  0.753  0.283
S  0.397  0.924  0.711
S  0.217  0.247  0.759
S  0.464  0.424  0.147
S  0.241  0.753  0.970
S  0.512  0.753  0.783
S  0.897  0.924  0.714
S  0.528  0.924  0.214
S  0.533  0.253  0.762
S  0.789  0.076  0.103
S  0.289  0.076  0.472
S  0.720  0.253  0.491
S  0.353  0.576  0.036
S  0.530  0.247  0.259
S  0.028  0.924  0.211
S  0.964  0.424  0.778
S  0.238  0.747  0.280
S  0.786  0.076  0.603
S  0.286  0.076  0.972
S  0.012  0.753  0.470
Pr  0.500  0.000  0.000
Pr  0.750  0.500  0.750
Pr  0.000  0.000  0.500
Pr  0.250  0.500  0.750
Pr  0.750  0.500  0.250
Pr  0.000  0.000  0.000
Pr  0.250  0.500  0.250
Pr  0.500  0.000  0.500
P  0.338  0.750  0.125
P  0.375  0.250  0.662
P  0.412  0.750  0.625
P  0.838  0.750  0.125
P  0.875  0.250  0.088
P  0.375  0.250  0.162
P  0.875  0.250  0.588
P  0.912  0.750  0.625

Calculated values
Formation energy without anion corrections   -1071.9 meV per atom
Spin magnetization   0.0 Bohr magnetons per cell
E_tot   -5.522 eV/atom


# 11
VASP calculation (GGA-PBE) on an optimized crystal structure of Pr5PS4.

Unit cell a=4.130 b=5.821 c=10.935 alpha=105.44 beta=100.88 gamma=90.00
Positions (direct):
Pr  0.800  0.300  0.600
Pr  0.402  0.902  0.803
Pr  0.000  0.500  0.000
Pr  0.598  0.098  0.197
Pr  0.200  0.700  0.400
S  0.399  0.399  0.799
S  0.799  0.799  0.599
S  0.201  0.201  0.401
S  0.601  0.601  0.201
P  0.000  0.000  0.000

Calculated values
Formation energy without anion corrections   -1949.7 meV per atom
Spin magnetization   0.0 Bohr magnetons per cell
E_tot   -6.531 eV/atom


# 12
VASP calculation (GGA-PBE) on an optimized crystal structure of Pr2PS.

Unit cell a=4.158 b=5.874 c=8.340 alpha=90.00 beta=90.00 gamma=90.00
Positions (direct):
Pr  0.000  0.000  0.867
Pr  0.000  0.000  0.381
Pr  0.500  0.500  0.133
Pr  0.500  0.500  0.619
S  0.000  0.500  0.878
S  0.500  0.000  0.122
P  0.500  0.000  0.628
P  0.000  0.500  0.372

Calculated values
E above lowest polymorph   2.4 meV per atom
Formation energy without anion corrections   -1832.4 meV per atom
Spin magnetization   0.0 Bohr magnetons per cell
E_tot   -6.606 eV/atom


# 13
VASP calculation (GGA-PBE) on an optimized crystal structure of Pr4P3S.

Unit cell a=4.183 b=7.242 c=7.242 alpha=70.63 beta=90.00 gamma=90.00
Positions (direct):
P  0.500  0.000  0.500
P  0.000  0.000  0.000
P  0.000  0.500  0.500
Pr  0.500  0.752  0.252
Pr  0.500  0.249  0.748
Pr  0.000  0.754  0.746
Pr  0.000  0.246  0.254
S  0.500  0.500  0.000

Calculated values
Formation energy without anion corrections   -1699.7 meV per atom
Spin magnetization   0.0 Bohr magnetons per cell
E_tot   -6.634 eV/atom


# 14
VASP calculation (GGA-PBE) on an optimized crystal structure of Pr5P4S.

Unit cell a=5.920 b=7.253 c=7.253 alpha=80.41 beta=65.92 gamma=65.92
Positions (direct):
P  0.601  0.601  0.199
P  0.401  0.399  0.801
P  0.800  0.801  0.601
P  0.202  0.199  0.399
Pr  0.698  0.201  0.404
Pr  0.102  0.596  0.201
Pr  0.900  0.404  0.799
Pr  0.501  0.000  0.000
Pr  0.304  0.799  0.596
S  0.001  0.000  0.000

Calculated values
Formation energy without anion corrections   -1668.7 meV per atom
Spin magnetization   0.0 Bohr magnetons per cell
E_tot   -6.635 eV/atom


# 15
VASP calculation (GGA-PBE) on an optimized crystal structure of Pr3PS2.

Unit cell a=4.132 b=5.843 c=7.197 alpha=113.95 beta=106.69 gamma=90.00
Positions (direct):
Pr  0.162  0.662  0.824
Pr  0.838  0.338  0.176
Pr  0.500  0.000  0.500
S  0.167  0.167  0.834
S  0.833  0.833  0.166
P  0.500  0.500  0.500

Calculated values
Formation energy without anion corrections   -1907.4 meV per atom
Spin magnetization   0.0 Bohr magnetons per cell
E_tot   -6.575 eV/atom


# 16
VASP calculation (GGA-PBE) on an optimized crystal structure of PrPS4.

Unit cell a=7.466 b=7.465 c=7.465 alpha=76.07 beta=76.07 gamma=121.23
Positions (direct):
S  0.197  0.121  0.077
S  0.379  0.303  0.423
S  0.803  0.879  0.923
S  0.621  0.697  0.577
S  0.197  0.774  0.423
S  0.726  0.302  0.077
S  0.274  0.697  0.923
S  0.803  0.226  0.577
Pr  0.875  0.625  0.250
Pr  0.125  0.375  0.750
P  0.375  0.125  0.250
P  0.625  0.875  0.750

Calculated values
Formation energy without anion corrections   -943.7 meV per atom
Spin magnetization   0.0 Bohr magnetons per cell
E_tot   -5.394 eV/atom


# 17
VASP calculation (GGA-PBE) on an optimized crystal structure of Pr2PS.

Unit cell a=4.080 b=4.080 c=7.560 alpha=74.35 beta=74.35 gamma=60.00
Positions (direct):
Pr  0.256  0.256  0.233
Pr  0.078  0.078  0.766
S  0.499  0.499  0.504
P  0.668  0.668  0.997

Calculated values
E above lowest polymorph   103.2 meV per atom
Formation energy without anion corrections   -1731.5 meV per atom
Spin magnetization   0.0 Bohr magnetons per cell
E_tot   -6.506 eV/atom


# 18
VASP calculation (GGA-PBE) on an optimized crystal structure of Pr4PS2.

Unit cell a=4.097 b=7.945 c=7.008 alpha=64.22 beta=89.99 gamma=75.00
Positions (direct):
Pr  0.626  0.749  0.967
Pr  0.874  0.252  0.546
Pr  0.374  0.251  0.033
Pr  0.126  0.748  0.454
S  0.258  0.485  0.260
S  0.742  0.515  0.740
P  0.000  0.000  0.000

Calculated values
Formation energy without anion corrections   -1526.3 meV per atom
Spin magnetization   0.0 Bohr magnetons per cell
E_tot   -6.210 eV/atom


# 19
VASP calculation (GGA-PBE) on an optimized crystal structure of PrPS.

Unit cell a=5.556 b=5.627 c=17.311 alpha=90.00 beta=90.00 gamma=90.00
Positions (direct):
S  0.250  0.485  0.189
S  0.750  0.515  0.811
S  0.750  0.987  0.182
S  0.250  0.013  0.818
S  0.750  0.015  0.689
S  0.750  0.487  0.318
S  0.250  0.513  0.682
S  0.250  0.985  0.311
P  0.455  0.806  0.503
P  0.045  0.806  0.503
P  0.545  0.694  0.003
P  0.545  0.194  0.497
P  0.455  0.306  0.997
P  0.955  0.694  0.003
P  0.955  0.194  0.497
P  0.045  0.306  0.997
Pr  0.250  0.017  0.648
Pr  0.750  0.017  0.862
Pr  0.750  0.483  0.148
Pr  0.250  0.483  0.362
Pr  0.250  0.983  0.138
Pr  0.250  0.517  0.852
Pr  0.750  0.517  0.638
Pr  0.750  0.983  0.352

Calculated values
Formation energy without anion corrections   -1551.6 meV per atom
Spin magnetization   0.0 Bohr magnetons per cell
E_tot   -6.324 eV/atom


# 20
VASP calculation (GGA-PBE) on an optimized crystal structure of PrPS3.

Unit cell a=5.825 b=8.574 c=9.165 alpha=90.00 beta=90.94 gamma=90.00
Positions (direct):
P  0.469  0.616  0.056
P  0.969  0.884  0.556
P  0.031  0.116  0.444
P  0.531  0.384  0.944
S  0.913  0.978  0.763
S  0.587  0.478  0.737
S  0.153  0.668  0.954
S  0.413  0.522  0.263
S  0.625  0.846  0.077
S  0.375  0.154  0.923
S  0.087  0.022  0.237
S  0.847  0.332  0.046
S  0.653  0.832  0.454
S  0.347  0.168  0.546
S  0.125  0.654  0.577
S  0.875  0.346  0.423
Pr  0.932  0.632  0.253
Pr  0.432  0.868  0.753
Pr  0.568  0.132  0.247
Pr  0.068  0.368  0.747

Calculated values
Formation energy without anion corrections   -1006.8 meV per atom
Spin magnetization   0.0 Bohr magnetons per cell
E_tot   -5.521 eV/atom


# 21
VASP calculation (GGA-PBE) on an optimized crystal structure of Pr6PS5.

Unit cell a=7.141 b=7.141 c=7.151 alpha=99.52 beta=99.52 gamma=120.03
Positions (direct):
Pr  0.753  0.753  0.245
Pr  0.247  0.247  0.755
Pr  0.082  0.410  0.246
Pr  0.410  0.082  0.246
Pr  0.590  0.918  0.754
Pr  0.918  0.590  0.754
S  0.667  0.333  0.000
S  0.833  0.167  0.500
S  0.167  0.833  0.500
S  0.333  0.667  0.000
S  0.500  0.500  0.500
P  0.000  0.000  0.000

Calculated values
Formation energy without anion corrections   -1967.1 meV per atom
Spin magnetization   0.0 Bohr magnetons per cell
E_tot   -6.527 eV/atom